Cd4Au2O | PBE-GGA | optimized geometry Values from VASP.

Structure (Quantum ESPRESSO input):
```
&SYSTEM
  ibrav = 0, nat = 7, ntyp = 3
/
ATOMIC_SPECIES
Au 196.97 Au.upf
O 16.00 O.upf
Cd 112.41 Cd.upf
ATOMIC_POSITIONS angstrom
Au 2.245 2.245 1.965
Au 0.000 0.000 5.338
O 0.000 0.000 0.000
Cd 2.245 2.245 4.733
Cd 0.000 0.000 2.570
Cd 0.000 2.245 0.000
Cd 2.245 0.000 0.000
CELL_PARAMETERS angstrom
4.490 0.000 0.000
0.000 4.490 0.000
-2.245 -2.245 7.303
```

Output
Raw formation energy = -0.20 eV/atom
Calculated volume = 21.0 A^3/atom
Space group = No. 139
Magnetization = 0.00 Bohr magnetons per cell